Arrangement a

{
  "formula": "TbGeHO4",
  "functional": "GGA-PBE",
  "state": "optimized geometry",
  "lattice": [[8.110, 0.000, 0.000], [0.000, 6.553, 0.000], [-2.979, 0.000, 6.301]],
  "species": ["Tb", "Tb", "Tb", "Tb", "Ge", "Ge", "Ge", "Ge", "H", "H", "H", "H", "O", "O", "O", "O", "O", "O", "O", "O", "O", "O", "O", "O", "O", "O", "O", "O"],
  "frac_coords": [[0.218, 0.138, 0.105], [0.218, 0.362, 0.605], [0.782, 0.638, 0.395], [0.782, 0.862, 0.895], [0.242, 0.617, 0.122], [0.242, 0.883, 0.622], [0.758, 0.117, 0.378], [0.758, 0.383, 0.878], [0.474, 0.666, 0.874], [0.474, 0.834, 0.374], [0.526, 0.166, 0.626], [0.526, 0.334, 0.126], [0.081, 0.689, 0.537], [0.081, 0.811, 0.037], [0.224, 0.063, 0.795], [0.224, 0.437, 0.295], [0.274, 0.040, 0.437], [0.274, 0.460, 0.937], [0.458, 0.741, 0.744], [0.458, 0.759, 0.244], [0.542, 0.241, 0.756], [0.542, 0.259, 0.256], [0.726, 0.540, 0.063], [0.726, 0.960, 0.563], [0.776, 0.563, 0.705], [0.776, 0.937, 0.205], [0.919, 0.189, 0.963], [0.919, 0.311, 0.463]],
  "density_g_cm3": 5.88
}

Arrangement b

{
  "formula": "TbGeHO4",
  "functional": "GGA-PBE",
  "state": "optimized geometry",
  "lattice": [[11.088, 0.000, 0.000], [0.000, 6.084, 0.000], [0.000, 0.000, 4.845]],
  "species": ["Tb", "Tb", "Tb", "Tb", "Ge", "Ge", "Ge", "Ge", "H", "H", "H", "H", "O", "O", "O", "O", "O", "O", "O", "O", "O", "O", "O", "O", "O", "O", "O", "O"],
  "frac_coords": [[0.246, 0.250, 0.001], [0.254, 0.750, 0.501], [0.746, 0.250, 0.499], [0.754, 0.750, 0.999], [0.060, 0.750, 0.042], [0.440, 0.250, 0.542], [0.560, 0.750, 0.458], [0.940, 0.250, 0.958], [0.000, 0.000, 0.500], [0.000, 0.500, 0.500], [0.500, 0.000, 0.000], [0.500, 0.500, 0.000], [0.053, 0.750, 0.668], [0.072, 0.250, 0.765], [0.159, 0.540, 0.168], [0.159, 0.960, 0.168], [0.341, 0.040, 0.668], [0.341, 0.460, 0.668], [0.428, 0.750, 0.265], [0.447, 0.250, 0.168], [0.553, 0.750, 0.832], [0.572, 0.250, 0.735], [0.659, 0.540, 0.332], [0.659, 0.960, 0.332], [0.841, 0.040, 0.832], [0.841, 0.460, 0.832], [0.928, 0.750, 0.235], [0.947, 0.250, 0.332]],
  "density_g_cm3": 6.03
}

Arrangement c

{
  "formula": "TbGeHO4",
  "functional": "GGA-PBE",
  "state": "optimized geometry",
  "lattice": [[5.217, 0.000, 0.000], [0.000, 11.658, 0.000], [0.000, 0.000, 4.775]],
  "species": ["Tb", "Tb", "Tb", "Tb", "Ge", "Ge", "Ge", "Ge", "H", "H", "H", "H", "O", "O", "O", "O", "O", "O", "O", "O", "O", "O", "O", "O", "O", "O", "O", "O"],
  "frac_coords": [[0.000, 0.119, 0.250], [0.000, 0.881, 0.750], [0.500, 0.381, 0.750], [0.500, 0.619, 0.250], [0.000, 0.393, 0.250], [0.000, 0.607, 0.750], [0.500, 0.107, 0.750], [0.500, 0.893, 0.250], [0.000, 0.299, 0.750], [0.000, 0.701, 0.250], [0.500, 0.201, 0.250], [0.500, 0.799, 0.750], [0.118, 0.297, 0.525], [0.118, 0.703, 0.025], [0.238, 0.041, 0.592], [0.238, 0.959, 0.092], [0.262, 0.459, 0.092], [0.262, 0.541, 0.592], [0.382, 0.203, 0.025], [0.382, 0.797, 0.525], [0.618, 0.203, 0.475], [0.618, 0.797, 0.975], [0.738, 0.459, 0.408], [0.738, 0.541, 0.908], [0.762, 0.041, 0.908], [0.762, 0.959, 0.408], [0.882, 0.297, 0.975], [0.882, 0.703, 0.475]],
  "density_g_cm3": 6.78
}

Q: What are the energies relative to the best structure? A: arrangement a 0.0; arrangement b 51.4; arrangement c 2.4, in kJ/mol of atoms.

Arrangement a

{
  "formula": "LiHfGeIr",
  "functional": "GGA-PBE",
  "state": "optimized geometry",
  "lattice": [[6.249, 0.000, 0.000], [0.000, 6.249, 0.000], [0.000, 0.000, 6.249]],
  "species": ["Li", "Li", "Li", "Li", "Hf", "Hf", "Hf", "Hf", "Ge", "Ge", "Ge", "Ge", "Ir", "Ir", "Ir", "Ir"],
  "frac_coords": [[0.000, 0.000, 0.000], [0.000, 0.500, 0.500], [0.500, 0.000, 0.500], [0.500, 0.500, 0.000], [0.250, 0.250, 0.750], [0.250, 0.750, 0.250], [0.750, 0.250, 0.250], [0.750, 0.750, 0.750], [0.250, 0.250, 0.250], [0.250, 0.750, 0.750], [0.750, 0.250, 0.750], [0.750, 0.750, 0.250], [0.000, 0.000, 0.500], [0.000, 0.500, 0.000], [0.500, 0.000, 0.000], [0.500, 0.500, 0.500]],
  "density_g_cm3": 12.25
}

Arrangement b

{
  "formula": "LiHfGeIr",
  "functional": "GGA-PBE",
  "state": "optimized geometry",
  "lattice": [[6.347, 0.000, 0.000], [0.000, 6.347, 0.000], [0.000, 0.000, 6.347]],
  "species": ["Li", "Li", "Li", "Li", "Hf", "Hf", "Hf", "Hf", "Ge", "Ge", "Ge", "Ge", "Ir", "Ir", "Ir", "Ir"],
  "frac_coords": [[0.000, 0.000, 0.000], [0.000, 0.500, 0.500], [0.500, 0.000, 0.500], [0.500, 0.500, 0.000], [0.000, 0.000, 0.500], [0.000, 0.500, 0.000], [0.500, 0.000, 0.000], [0.500, 0.500, 0.500], [0.250, 0.250, 0.250], [0.250, 0.750, 0.750], [0.750, 0.250, 0.750], [0.750, 0.750, 0.250], [0.250, 0.250, 0.750], [0.250, 0.750, 0.250], [0.750, 0.250, 0.250], [0.750, 0.750, 0.750]],
  "density_g_cm3": 11.70
}

Q: What are the energies relative to the best structure? A: arrangement a 0.0; arrangement b 22.9, in kJ/mol of atoms.

Arrangement a

{
  "formula": "LiHfGeIr",
  "functional": "GGA-PBE",
  "state": "optimized geometry",
  "lattice": [[6.223, 0.000, 0.000], [0.000, 6.223, 0.000], [0.000, 0.000, 6.223]],
  "species": ["Li", "Li", "Li", "Li", "Hf", "Hf", "Hf", "Hf", "Ge", "Ge", "Ge", "Ge", "Ir", "Ir", "Ir", "Ir"],
  "frac_coords": [[0.000, 0.000, 0.000], [0.000, 0.500, 0.500], [0.500, 0.000, 0.500], [0.500, 0.500, 0.000], [0.250, 0.250, 0.250], [0.250, 0.750, 0.750], [0.750, 0.250, 0.750], [0.750, 0.750, 0.250], [0.000, 0.000, 0.500], [0.000, 0.500, 0.000], [0.500, 0.000, 0.000], [0.500, 0.500, 0.500], [0.250, 0.250, 0.750], [0.250, 0.750, 0.250], [0.750, 0.250, 0.250], [0.750, 0.750, 0.750]],
  "density_g_cm3": 12.41
}

Arrangement b

{
  "formula": "LiHfGeIr",
  "functional": "GGA-PBE",
  "state": "optimized geometry",
  "lattice": [[6.248, 0.000, 0.000], [0.000, 6.248, 0.000], [0.000, 0.000, 6.248]],
  "species": ["Li", "Li", "Li", "Li", "Hf", "Hf", "Hf", "Hf", "Ge", "Ge", "Ge", "Ge", "Ir", "Ir", "Ir", "Ir"],
  "frac_coords": [[0.000, 0.000, 0.000], [0.000, 0.500, 0.500], [0.500, 0.000, 0.500], [0.500, 0.500, 0.000], [0.250, 0.250, 0.250], [0.250, 0.750, 0.750], [0.750, 0.250, 0.750], [0.750, 0.750, 0.250], [0.250, 0.250, 0.750], [0.250, 0.750, 0.250], [0.750, 0.250, 0.250], [0.750, 0.750, 0.750], [0.000, 0.000, 0.500], [0.000, 0.500, 0.000], [0.500, 0.000, 0.000], [0.500, 0.500, 0.500]],
  "density_g_cm3": 12.26
}

Q: What are the energies relative to the best structure? A: arrangement a 34.3; arrangement b 0.0, in kJ/mol of atoms.